i.
Material: Re2RuW
Method: DFT, GGA-PBEsol
State: relaxed

The space group is C2/m (No. 12) and the conventional cell measures 9.1064, 2.7383 and 4.7507 Å, with angles of 90.00, 99.69 and 90.00 degrees. The distinct sites, in fractional coordinates, are Re at (0.2440, 0.0000, 0.2413), Ru at (0.0000, 0.5000, 0.0000) and W at (0.0000, 0.0000, 0.5000).

The density of states at the Fermi level is 0.767 states/eV/atom.



ii.
Material: Re2RuW
Method: DFT, GGA-PBEsol
State: relaxed

The space group is P4mm (No. 99) and the conventional cell measures 2.7422, 2.7422 and 7.7762 Å, with angles of 90.00, 90.00 and 90.00 degrees. The distinct sites, in fractional coordinates, are Re at (0.0000, 0.0000, 0.0000), Re at (0.5000, 0.5000, 0.2463), Ru at (0.0000, 0.0000, 0.4870) and W at (0.5000, 0.5000, 0.7378).

The density of states at the Fermi level is 1.068 states/eV/atom.



iii.
Material: Re2RuW
Method: DFT, GGA-PBEsol
State: relaxed

The space group is Cm (No. 8) and the conventional cell measures 4.7602, 2.7432 and 9.1005 Å, with angles of 90.00, 99.74 and 90.00 degrees. The distinct sites, in fractional coordinates, are Re at (0.0000, 0.0000, 0.0000), Re at (0.2465, 0.5000, 0.2431), Ru at (0.2513, 0.0000, 0.7500) and W at (0.0037, 0.5000, 0.5059).

The density of states at the Fermi level is 0.907 states/eV/atom.



iv.
Material: Re2RuW
Method: DFT, GGA-PBEsol
State: relaxed

The space group is P4/mmm (No. 123) and the conventional cell measures 3.8686, 3.8686 and 3.8967 Å, with angles of 90.00, 90.00 and 90.00 degrees. The distinct sites, in fractional coordinates, are Re at (0.0000, 0.5000, 0.0000), Ru at (0.0000, 0.0000, 0.5000) and W at (0.5000, 0.5000, 0.5000).

The density of states at the Fermi level is 1.017 states/eV/atom.



The structure with the least stability is iii.



i.
Material: ReRuW2
Method: DFT, GGA-PBEsol
State: relaxed

The space group is Pmmm (No. 47) and the conventional cell measures 3.0766, 4.3584 and 4.4517 Å, with angles of 90.00, 90.00 and 90.00 degrees. The distinct sites, in fractional coordinates, are Re at (0.0000, 0.0000, 0.0000), Ru at (0.5000, 0.0000, 0.5000), W at (0.0000, 0.5000, 0.5000) and W at (0.5000, 0.5000, 0.0000).

The density of states at the Fermi level is 1.197 states/eV/atom.



ii.
Material: ReRuW2
Method: DFT, GGA-PBEsol
State: relaxed

The space group is I4/mmm (No. 139) and the conventional cell measures 3.9409, 3.9409 and 7.6743 Å, with angles of 90.00, 90.00 and 90.00 degrees. The distinct sites, in fractional coordinates, are Re at (0.0000, 0.0000, 0.0000), Ru at (0.0000, 0.0000, 0.5000) and W at (0.0000, 0.5000, 0.2500).

The density of states at the Fermi level is 0.997 states/eV/atom.



The structure with the least stability is i.



i.
Material: YReRu
Method: DFT, GGA-PBEsol
State: relaxed

The space group is P3m1 (No. 156) and the conventional cell measures 4.0785, 4.0785 and 4.3438 Å, with angles of 90.00, 90.00 and 120.00 degrees. The distinct sites, in fractional coordinates, are Y at (0.0000, 0.0000, 0.0000), Re at (0.6667, 0.3333, 0.5256) and Ru at (0.3333, 0.6667, 0.4726).

The density of states at the Fermi level is 0.616 states/eV/atom.



ii.
Material: YReRu
Method: DFT, GGA-PBEsol
State: relaxed

The space group is F-43m (No. 216) and the conventional cell measures 6.1871, 6.1871 and 6.1871 Å, with angles of 90.00, 90.00 and 90.00 degrees. The distinct sites, in fractional coordinates, are Y at (0.0000, 0.0000, 0.0000), Re at (0.2500, 0.2500, 0.2500) and Ru at (0.0000, 0.0000, 0.5000).

The density of states at the Fermi level is 1.156 states/eV/atom.



The structure with the least stability is ii.



i.
Material: ScReSb2
Method: DFT, GGA-PBEsol
State: relaxed

The space group is P4mm (No. 99) and the conventional cell measures 3.4284, 3.4284 and 6.9806 Å, with angles of 90.00, 90.00 and 90.00 degrees. The distinct sites, in fractional coordinates, are Sc at (0.0000, 0.0000, 0.0000), Re at (0.5000, 0.5000, 0.2205), Sb at (0.0000, 0.0000, 0.4224) and Sb at (0.5000, 0.5000, 0.7825).

The density of states at the Fermi level is 0.311 states/eV/atom.



ii.
Material: ScReSb2
Method: DFT, GGA-PBEsol
State: relaxed

The space group is P4/mmm (No. 123) and the conventional cell measures 3.2609, 3.2609 and 7.2529 Å, with angles of 90.00, 90.00 and 90.00 degrees. The distinct sites, in fractional coordinates, are Sc at (0.0000, 0.0000, 0.0000), Re at (0.0000, 0.0000, 0.5000) and Sb at (0.5000, 0.5000, 0.2759).

The density of states at the Fermi level is 0.677 states/eV/atom.



iii.
Material: ScReSb2
Method: DFT, GGA-PBEsol
State: relaxed

The space group is I-4m2 (No. 119) and the conventional cell measures 4.1341, 4.1341 and 9.0256 Å, with angles of 90.00, 90.00 and 90.00 degrees. The distinct sites, in fractional coordinates, are Sc at (0.0000, 0.0000, 0.0000), Re at (0.0000, 0.5000, 0.2500), Sb at (0.0000, 0.0000, 0.5000) and Sb at (0.0000, 0.5000, 0.7500).

The density of states at the Fermi level is 0.902 states/eV/atom.



iv.
Material: ScReSb2
Method: DFT, GGA-PBEsol
State: relaxed

The space group is P4/mmm (No. 123) and the conventional cell measures 4.7560, 4.7560 and 3.3680 Å, with angles of 90.00, 90.00 and 90.00 degrees. The distinct sites, in fractional coordinates, are Sc at (0.0000, 0.0000, 0.0000), Re at (0.5000, 0.5000, 0.0000) and Sb at (0.0000, 0.5000, 0.5000).

The density of states at the Fermi level is 0.737 states/eV/atom.



The structure with the least stability is iii.